No. 1
The following is a GGA-PBE calculation of crystalline RbSr2Os at its relaxed geometry, from the Alexandria database.

Calculated values
The calculation puts the raw total energy at -2.99 eV/atom. Its polymorph energy (0 for the lowest one) is 35 meV/atom. For the formation enthalpy at 0 K, the calculation gives 87 kJ per mole of atoms.

POSCAR file:
```
RbSr2Os
1.0
8.7063 0.0000 0.0000
0.0000 8.7063 0.0000
4.3531 4.3531 6.2004
Sr Os Rb
4 2 2
Cartesian
8.7039 2.1766 1.5501 Sr
8.7086 6.5297 1.5501 Sr
6.5297 4.3555 4.6503 Sr
10.8828 4.3508 4.6503 Sr
0.0000 0.0000 0.0000 Os
8.7063 4.3531 3.1002 Os
4.3531 4.3531 0.0000 Rb
4.3531 8.7063 3.1002 Rb
```

No. 2
The following is a GGA-PBE calculation of crystalline LiTa2Al at its relaxed geometry, from the Alexandria database.

Calculated values
The calculation puts the raw total energy at -7.08 eV/atom. Its polymorph energy (0 for the lowest one) is 232 meV/atom. For the formation enthalpy at 0 K, the calculation gives 25 kJ per mole of atoms.

POSCAR file:
```
LiTa2Al
1.0
1.4242 -3.2645 2.7530
-2.9258 -2.1079 2.6945
-1.1274 -4.2815 -0.8133
Li Al Ta
1 1 2
Cartesian
0.0000 0.0000 0.0000 Li
-1.3145 -4.8269 2.3171 Al
-0.6573 -2.4135 1.1586 Ta
-1.9718 -7.2404 3.4757 Ta
```

The lowest polymorph energy (0 for the lowest one) belongs to which entry? RbSr2Os